1.
This record from Alexandria via LeMat-Bulk describes crystalline AsIBr2 at its relaxed geometry. The functional is PBE. Values from VASP.

```
&SYSTEM
  ibrav = 0, nat = 12, ntyp = 3
/
ATOMIC_SPECIES
As 74.92 As.upf
I 126.90 I.upf
Br 79.90 Br.upf
ATOMIC_POSITIONS angstrom
As 0.000 0.000 0.000
As 0.000 1.931 27.653
As 1.672 0.965 13.827
I 0.000 0.000 20.740
I 0.000 1.931 6.913
I 1.672 0.965 34.567
Br 0.000 0.000 2.561
Br 0.000 0.000 38.919
Br 0.000 1.931 25.093
Br 0.000 1.931 30.214
Br 1.672 0.965 11.266
Br 1.672 0.965 16.388
CELL_PARAMETERS angstrom
3.344 0.000 0.000
-1.672 2.896 0.000
0.000 0.000 41.480
```

Computed properties:
The value obtained for the total energy is -26.03 eV per cell. The formation energy from raw total energies is 0.217 eV/atom. The calculation puts the energy above the most stable polymorph in this dataset at 551 meV per atom. As for the space-group type: R-3m.

---

2.
This record from Alexandria via LeMat-Bulk describes crystalline As2IBr at its relaxed geometry. The functional is PBE. Values from VASP.

```
&SYSTEM
  ibrav = 0, nat = 16, ntyp = 3
/
ATOMIC_SPECIES
As 74.92 As.upf
I 126.90 I.upf
Br 79.90 Br.upf
ATOMIC_POSITIONS angstrom
As 1.824 1.824 1.824
As 1.824 1.824 5.473
As 1.824 5.473 1.824
As 1.824 5.473 5.473
As 5.473 1.824 1.824
As 5.473 1.824 5.473
As 5.473 5.473 1.824
As 5.473 5.473 5.473
I 0.000 0.000 0.000
I 0.000 3.649 3.649
I 3.649 0.000 3.649
I 3.649 3.649 0.000
Br 0.000 0.000 3.649
Br 0.000 3.649 0.000
Br 3.649 0.000 0.000
Br 3.649 3.649 3.649
CELL_PARAMETERS angstrom
7.297 0.000 0.000
0.000 7.297 0.000
0.000 0.000 7.297
```

Computed properties:
The value obtained for the total energy is -38.89 eV per cell. The formation energy from raw total energies is 0.700 eV/atom. The calculation puts the energy above the most stable polymorph in this dataset at 113 meV per atom. As for the space-group type: Fm-3m.

---

3.
This record from Alexandria via LeMat-Bulk describes crystalline As2I4Br at its relaxed geometry. The functional is PBE. Values from VASP.

```
&SYSTEM
  ibrav = 0, nat = 14, ntyp = 3
/
ATOMIC_SPECIES
As 74.92 As.upf
I 126.90 I.upf
Br 79.90 Br.upf
ATOMIC_POSITIONS angstrom
As 0.000 0.000 0.000
As 2.063 3.942 0.026
As 4.370 4.534 5.400
As 5.851 2.877 9.145
I 2.726 1.646 1.452
I 4.936 5.849 1.054
I 5.935 5.644 7.028
I 4.248 2.066 7.327
I 7.065 0.830 1.826
I 9.341 5.187 1.770
I 12.418 9.779 7.632
I 10.260 5.458 7.794
Br 7.952 7.596 3.478
Br 5.913 3.532 3.900
CELL_PARAMETERS angstrom
8.732 0.000 0.000
4.232 8.132 0.000
1.276 2.428 9.485
```

Computed properties:
The value obtained for the total energy is -35.02 eV per cell. The formation energy from raw total energies is -0.049 eV/atom. As for the space-group type: P1.